A.
A geometry-optimized CaPS2F structure, computed with PBE.

- total moment (μB/cell) = 0.00
- DOS(E_F) (states/eV/cell) = 2.82
- space group = No. 123

Lattice parameters (Å, degrees): 5.0673 5.0673 3.7251 90.00 90.00 90.00
Last column: nearest neighbours and their distance in Å.
Fractional positions:
P 0.0000 0.0000 0.5000  2 F 1.86
Ca 0.5000 0.5000 0.5000  8 S 3.14
S 0.0000 0.5000 0.0000  2 F 2.53
S 0.5000 0.0000 0.0000  2 F 2.53
F 0.0000 0.0000 0.0000  2 P 1.86

***

B.
A geometry-optimized CaPS2F structure, computed with PBE.

- total moment (μB/cell) = 1.08
- DOS(E_F) (states/eV/cell) = 6.85
- space group = No. 123

Lattice parameters (Å, degrees): 5.3401 5.3401 5.6209 90.00 90.00 90.00
Last column: nearest neighbours and their distance in Å.
Fractional positions:
P 0.0000 0.0000 0.5000  2 Ca 2.81
Ca 0.0000 0.0000 0.0000  4 S 2.67, 2 P 2.81
S 0.0000 0.5000 0.0000  2 Ca 2.67
S 0.5000 0.0000 0.0000  2 Ca 2.67
F 0.5000 0.5000 0.5000  4 P 3.78, 8 S 3.88

***

So which one is most stable? That would be A, about 840 meV/atom below the next structure.

***

A.
A geometry-optimized Ca2PaF8 structure, computed with PBE.

- total moment (μB/cell) = 1.00
- DOS(E_F) (states/eV/cell) = 4.03
- space group = No. 139

Lattice parameters (Å, degrees): 5.6048 5.6048 6.7863 114.39 114.39 90.00
Last column: nearest neighbours and their distance in Å.
Fractional positions:
Ca 0.7500 0.2500 0.5000  8 F 2.40
Ca 0.2500 0.7500 0.5000  8 F 2.40
Pa 0.5000 0.5000 0.0000  8 F 2.32
F 0.8602 0.3961 0.2565  1 Pa 2.32, 2 Ca 2.40
F 0.1395 0.6036 0.7435  1 Pa 2.32, 2 Ca 2.40
F 0.6039 0.1398 0.7435  1 Pa 2.32, 2 Ca 2.40
F 0.1398 0.1395 0.7435  1 Pa 2.32, 2 Ca 2.40
F 0.3964 0.8605 0.2565  1 Pa 2.32, 2 Ca 2.40
F 0.8605 0.8602 0.2565  1 Pa 2.32, 2 Ca 2.40
F 0.3961 0.3964 0.2565  1 Pa 2.32, 2 Ca 2.40
F 0.6036 0.6039 0.7435  1 Pa 2.32, 2 Ca 2.40

***

B.
A geometry-optimized Ca2PaF8 structure, computed with PBE.

- total moment (μB/cell) = 1.00
- DOS(E_F) (states/eV/cell) = 1.73
- space group = No. 12

Lattice parameters (Å, degrees): 4.1187 6.1754 6.1754 112.91 96.78 96.78
Last column: nearest neighbours and their distance in Å.
Fractional positions:
Ca 0.0000 0.3228 0.6772  8 F 2.29-2.41
Ca 0.0000 0.6772 0.3228  8 F 2.29-2.41
Pa 0.5000 0.0000 0.0000  4 F 2.29-2.32
F 0.9193 0.9407 0.6962  2 Ca 2.34-2.39, 4 F 2.42-2.57
F 0.9193 0.6962 0.9407  2 Ca 2.34-2.39, 4 F 2.42-2.57
F 0.3388 0.6577 0.6577  1 Pa 2.29, 2 Ca 2.41
F 0.5000 0.7751 0.2249  2 Ca 2.29, 1 Pa 2.32, 2 F 2.56
F 0.5000 0.2249 0.7751  2 Ca 2.29, 1 Pa 2.32, 2 F 2.56
F 0.6612 0.3423 0.3423  1 Pa 2.29, 2 Ca 2.41
F 0.0807 0.3038 0.0593  2 Ca 2.34-2.39, 4 F 2.42-2.57
F 0.0807 0.0593 0.3038  2 Ca 2.34-2.39, 4 F 2.42-2.57

***

So which one is most stable? That would be A, about 73 meV/atom below the next structure.

***

A.
A geometry-optimized Ca2PdF6 structure, computed with PBE.

- total moment (μB/cell) = 3.99
- space group = No. 136

Lattice parameters (Å, degrees): 5.1789 5.1789 10.6328 90.00 90.00 90.00
Last column: nearest neighbours and their distance in Å.
Fractional positions:
Ca 0.0000 0.0000 0.3339  6 F 2.26-2.29
Ca 0.5000 0.5000 0.8339  6 F 2.26-2.29
Ca 0.5000 0.5000 0.1661  6 F 2.26-2.29
Ca 0.0000 0.0000 0.6661  6 F 2.26-2.29
Pd 0.0000 0.0000 0.0000  6 F 2.21-2.23
Pd 0.5000 0.5000 0.5000  6 F 2.21-2.23
F 0.3092 0.3092 0.3361  1 Pd 2.23, 2 Ca 2.26-2.29
F 0.6908 0.6908 0.3361  1 Pd 2.23, 2 Ca 2.26-2.29
F 0.1908 0.8092 0.8361  1 Pd 2.23, 2 Ca 2.26-2.29
F 0.8092 0.1908 0.8361  1 Pd 2.23, 2 Ca 2.26-2.29
F 0.1908 0.8092 0.1639  1 Pd 2.23, 2 Ca 2.26-2.29
F 0.8092 0.1908 0.1639  1 Pd 2.23, 2 Ca 2.26-2.29
F 0.3092 0.3092 0.6639  1 Pd 2.23, 2 Ca 2.26-2.29
F 0.6908 0.6908 0.6639  1 Pd 2.23, 2 Ca 2.26-2.29
F 0.3011 0.3011 0.0000  1 Pd 2.21, 2 Ca 2.29
F 0.6989 0.6989 0.0000  1 Pd 2.21, 2 Ca 2.29
F 0.1989 0.8011 0.5000  1 Pd 2.21, 2 Ca 2.29
F 0.8011 0.1989 0.5000  1 Pd 2.21, 2 Ca 2.29

***

B.
A geometry-optimized Ca2PdF6 structure, computed with PBE.

- total moment (μB/cell) = 2.00
- space group = No. 121

Lattice parameters (Å, degrees): 4.1222 4.1222 9.1050 103.08 103.08 90.00
Last column: nearest neighbours and their distance in Å.
Fractional positions:
Ca 0.1795 0.1795 0.3591  6 F 2.17-2.39
Ca 0.8205 0.8205 0.6409  6 F 2.17-2.39
Pd 0.5000 0.5000 0.0000  4 F 2.09
F 0.8211 0.3670 0.1881  1 Pd 2.09, 1 Ca 2.17
F 0.6330 0.6330 0.8119  1 Pd 2.09, 1 Ca 2.17
F 0.3670 0.8211 0.1881  1 Pd 2.09, 1 Ca 2.17
F 0.1789 0.1789 0.8119  1 Pd 2.09, 1 Ca 2.17
F 0.7500 0.2500 0.5000  4 Ca 2.39
F 0.2500 0.7500 0.5000  4 Ca 2.39

***

So which one is most stable? That would be A, about 164 meV/atom below the next structure.

***

A.
A geometry-optimized CaPd2F structure, computed with PBE.

- total moment (μB/cell) = 0.00
- DOS(E_F) (states/eV/cell) = 3.79
- space group = No. 122

Lattice parameters (Å, degrees): 3.5981 3.5981 11.6574 81.12 81.12 90.00
Last column: nearest neighbours and their distance in Å.
Fractional positions:
Ca 0.0000 0.0000 0.0000  4 F 2.54
Ca 0.7500 0.2500 0.5000  4 F 2.54
Pd 0.6243 0.1250 0.2500  4 Pd 2.54-2.55
Pd 0.1257 0.6250 0.2500  4 Pd 2.54-2.55
Pd 0.3750 0.3757 0.7500  4 Pd 2.54-2.55
Pd 0.8750 0.8743 0.7500  4 Pd 2.54-2.55
F 0.5000 0.5000 0.0000  4 Ca 2.54
F 0.2500 0.7500 0.5000  4 Ca 2.54

***

B.
A geometry-optimized CaPd2F structure, computed with PBE.

- total moment (μB/cell) = 0.00
- DOS(E_F) (states/eV/cell) = 0.92
- space group = No. 225

Lattice parameters (Å, degrees): 4.6032 4.6032 4.6032 60.00 60.00 60.00
Last column: nearest neighbours and their distance in Å.
Fractional positions:
Ca 0.5000 0.5000 0.5000  8 Pd 2.82
Pd 0.2500 0.2500 0.2500  4 F 2.82, 4 Ca 2.82
Pd 0.7500 0.7500 0.7500  4 F 2.82, 4 Ca 2.82
F 0.0000 0.0000 0.0000  8 Pd 2.82

***

So which one is most stable? That would be A, about 655 meV/atom below the next structure.

***

A.
A geometry-optimized CaPm2F8 structure, computed with PBE.

- total moment (μB/cell) = 0.14
- DOS(E_F) (states/eV/cell) = 0.00
- space group = No. 71

Lattice parameters (Å, degrees): 4.0003 5.5505 7.0279 113.26 106.53 90.00
Last column: nearest neighbours and their distance in Å.
Fractional positions:
Ca 0.5000 0.0000 0.0000  8 F 2.30-2.51
F 0.6442 0.8809 0.2885  1 Ca 2.30, 3 F 2.40-2.55, 2 Pm 2.42
F 0.3558 0.5924 0.7115  1 Ca 2.30, 3 F 2.40-2.55, 2 Pm 2.42
F 0.1921 0.1921 0.3842  6 F 2.40-2.55, 2 Pm 2.58
F 0.0000 0.2731 0.0000  2 Pm 2.49, 2 Ca 2.51, 5 F 2.52-2.67
F 0.8079 0.8079 0.6158  6 F 2.40-2.55, 2 Pm 2.58
F 0.6442 0.4076 0.2885  1 Ca 2.30, 3 F 2.40-2.55, 2 Pm 2.42
F 0.3558 0.1191 0.7115  1 Ca 2.30, 3 F 2.40-2.55, 2 Pm 2.42
F 0.0000 0.7269 0.0000  2 Pm 2.49, 2 Ca 2.51, 5 F 2.52-2.67
Pm 0.1750 0.6750 0.3500  10 F 2.42-2.66
Pm 0.8250 0.3250 0.6500  10 F 2.42-2.66

***

B.
A geometry-optimized CaPm2F8 structure, computed with PBE.

- total moment (μB/cell) = 0.00
- DOS(E_F) (states/eV/cell) = 0.00
- space group = No. 12

Lattice parameters (Å, degrees): 3.8226 5.6262 7.5181 109.22 104.73 90.00
Last column: nearest neighbours and their distance in Å.
Fractional positions:
Ca 0.5000 0.0000 0.0000  8 F 2.35-2.63
Pm 0.8261 0.3169 0.6522  9 F 2.32-2.50
Pm 0.1739 0.6831 0.3478  9 F 2.32-2.50
F 0.4035 0.5564 0.8070  2 Pm 2.39, 1 Ca 2.41, 1 F 2.59
F 0.6759 0.9638 0.3518  3 Pm 2.40-2.47, 1 F 2.60, 1 Ca 2.63
F 0.7841 0.6786 0.5681  3 Pm 2.32-2.50
F 0.9631 0.1941 0.9261  1 Pm 2.32, 2 Ca 2.35
F 0.2159 0.3214 0.4319  3 Pm 2.32-2.50
F 0.3241 0.0362 0.6482  3 Pm 2.40-2.47, 1 F 2.60, 1 Ca 2.63
F 0.5965 0.4436 0.1930  2 Pm 2.39, 1 Ca 2.41, 1 F 2.59
F 0.0369 0.8059 0.0739  1 Pm 2.32, 2 Ca 2.35

***

So which one is most stable? That would be B, about 107 meV/atom below the next structure.

***

A.
A geometry-optimized CaPtF3 structure, computed with PBE.

- total moment (μB/cell) = 1.04
- DOS(E_F) (states/eV/cell) = 14.38
- space group = No. 221

Lattice parameters (Å, degrees): 4.3965 4.3965 4.3965 90.00 90.00 90.00
Last column: nearest neighbours and their distance in Å.
Fractional positions:
Ca 0.0000 0.0000 0.0000  6 F 2.20
Pt 0.5000 0.5000 0.5000  12 F 3.11
F 0.0000 0.5000 0.0000  2 Ca 2.20
F 0.0000 0.0000 0.5000  2 Ca 2.20
F 0.5000 0.0000 0.0000  2 Ca 2.20

***

B.
A geometry-optimized CaPtF3 structure, computed with PBE.

- total moment (μB/cell) = 0.00
- DOS(E_F) (states/eV/cell) = 1.66
- space group = No. 221

Lattice parameters (Å, degrees): 4.4414 4.4414 4.4414 90.00 90.00 90.00
Last column: nearest neighbours and their distance in Å.
Fractional positions:
Ca 0.5000 0.5000 0.5000  12 F 3.14
Pt 0.0000 0.0000 0.0000  6 F 2.22
F 0.0000 0.5000 0.0000  2 Pt 2.22
F 0.0000 0.0000 0.5000  2 Pt 2.22
F 0.5000 0.0000 0.0000  2 Pt 2.22

***

So which one is most stable? That would be A, about 263 meV/atom below the next structure.